Record 1
SrIn2Os PBE relaxed; crystal system = trigonal; E_form = 131 meV per atom; size of the total moment = 0.0 μB per formula unit; space group = R-3m (166); total DFT energy (no corrections) = -53.6 eV/cell
1.0
4.599 0.000 0.000
-2.299 3.983 0.000
0.000 0.000 17.252
Sr In Os
3 6 3
direct
0.000 0.000 0.000 Sr
0.333 0.667 0.667 Sr
0.667 0.333 0.333 Sr
0.000 0.000 0.211 In
0.000 0.000 0.789 In
0.333 0.667 0.456 In
0.333 0.667 0.878 In
0.667 0.333 0.122 In
0.667 0.333 0.544 In
0.000 0.000 0.500 Os
0.333 0.667 0.167 Os
0.667 0.333 0.833 Os


Record 2
LaTl2Au PBE relaxed; distance to the lowest polymorph of the same formula = 0.0 meV per atom; crystal system = tetragonal; E_form = -482 meV per atom; size of the total moment = 0.0 μB per formula unit; space group = I4/mmm (139); total DFT energy (no corrections) = -59.5 eV/cell
1.0
5.030 0.000 0.000
0.000 5.030 0.000
0.000 0.000 17.173
La Tl Au
4 8 4
direct
0.000 0.000 0.141 La
0.000 0.000 0.859 La
0.500 0.500 0.359 La
0.500 0.500 0.641 La
0.000 0.000 0.360 Tl
0.000 0.000 0.640 Tl
0.000 0.500 0.000 Tl
0.000 0.500 0.500 Tl
0.500 0.000 0.000 Tl
0.500 0.000 0.500 Tl
0.500 0.500 0.140 Tl
0.500 0.500 0.860 Tl
0.000 0.500 0.250 Au
0.000 0.500 0.750 Au
0.500 0.000 0.250 Au
0.500 0.000 0.750 Au


Record 3
La4In2Ag PBE relaxed; crystal system = trigonal; E_form = -287 meV per atom; size of the total moment = 0.0 μB per formula unit; space group = R-3m (166); total DFT energy (no corrections) = -30.0 eV/cell
1.0
2.753 1.590 8.848
-2.753 1.590 8.848
0.000 -3.179 8.848
La In Ag
4 2 1
direct
0.122 0.122 0.122 La
0.374 0.374 0.374 La
0.626 0.626 0.626 La
0.878 0.878 0.878 La
0.249 0.249 0.249 In
0.751 0.751 0.751 In
0.500 0.500 0.500 Ag


Record 4
Pr8Te4AsS3 PBE relaxed; crystal system = trigonal; size of the total moment = 0.0 μB per formula unit; space group = R-3m (166); total DFT energy (no corrections) = -94.9 eV/cell
1.0
4.293 2.479 7.291
-4.293 2.479 7.291
0.000 -4.957 7.291
Pr Te As S
8 4 1 3
direct
0.233 0.739 0.739 Pr
0.236 0.236 0.236 Pr
0.261 0.261 0.767 Pr
0.261 0.767 0.261 Pr
0.739 0.233 0.739 Pr
0.739 0.739 0.233 Pr
0.764 0.764 0.764 Pr
0.767 0.261 0.261 Pr
0.000 0.000 0.000 Te
0.000 0.500 0.500 Te
0.500 0.000 0.500 Te
0.500 0.500 0.000 Te
0.500 0.500 0.500 As
0.000 0.000 0.500 S
0.000 0.500 0.000 S
0.500 0.000 0.000 S


Record 5
LaNdGdCd PBE relaxed; crystal system = cubic; E_form = -62 meV per atom; size of the total moment = 7.8 μB per formula unit; space group = F-43m (216); total DFT energy (no corrections) = -99.8 eV/cell
1.0
7.938 0.000 0.000
0.000 7.938 0.000
0.000 0.000 7.938
La Nd Gd Cd
4 4 4 4
direct
0.000 0.000 0.000 La
0.000 0.500 0.500 La
0.500 0.000 0.500 La
0.500 0.500 0.000 La
0.000 0.000 0.500 Nd
0.000 0.500 0.000 Nd
0.500 0.000 0.000 Nd
0.500 0.500 0.500 Nd
0.250 0.250 0.250 Gd
0.250 0.750 0.750 Gd
0.750 0.250 0.750 Gd
0.750 0.750 0.250 Gd
0.250 0.250 0.750 Cd
0.250 0.750 0.250 Cd
0.750 0.250 0.250 Cd
0.750 0.750 0.750 Cd


Record 6
LiMn2W PBE relaxed; crystal system = orthorhombic; E_form = 400 meV per atom; size of the total moment = 1.4 μB per formula unit; space group = Immm (71); total DFT energy (no corrections) = -63.2 eV/cell
1.0
2.998 0.000 0.000
0.000 4.231 0.000
0.000 0.000 7.844
Li Mn W
2 4 2
direct
0.000 0.000 0.000 Li
0.500 0.500 0.500 Li
0.000 0.500 0.245 Mn
0.000 0.500 0.755 Mn
0.500 0.000 0.255 Mn
0.500 0.000 0.745 Mn
0.000 0.000 0.500 W
0.500 0.500 0.000 W


Record 7
KMgZn PBE relaxed; distance to the lowest polymorph of the same formula = 63.2 meV per atom; crystal system = orthorhombic; E_form = 122 meV per atom; size of the total moment = 0.0 μB per formula unit; space group = Imm2 (44); total DFT energy (no corrections) = -7.2 eV/cell
1.0
3.494 0.000 0.000
0.000 4.055 0.000
0.000 0.000 12.846
K Mg Zn
2 2 2
direct
0.000 0.000 0.000 K
0.500 0.500 0.500 K
0.000 0.000 0.724 Mg
0.500 0.500 0.224 Mg
0.000 0.000 0.296 Zn
0.500 0.500 0.796 Zn


Record 8
NbHAu2 PBE relaxed; distance to the lowest polymorph of the same formula = 229.2 meV per atom; crystal system = cubic; size of the total moment = 0.0 μB per formula unit; space group = Fm-3m (225); total DFT energy (no corrections) = -69.3 eV/cell
1.0
6.366 0.000 0.000
0.000 6.366 0.000
0.000 0.000 6.366
Nb H Au
4 4 8
direct
0.000 0.000 0.000 Nb
0.000 0.500 0.500 Nb
0.500 0.000 0.500 Nb
0.500 0.500 0.000 Nb
0.000 0.000 0.500 H
0.000 0.500 0.000 H
0.500 0.000 0.000 H
0.500 0.500 0.500 H
0.250 0.250 0.250 Au
0.250 0.250 0.750 Au
0.250 0.750 0.250 Au
0.250 0.750 0.750 Au
0.750 0.250 0.250 Au
0.750 0.250 0.750 Au
0.750 0.750 0.250 Au
0.750 0.750 0.750 Au


Record 9
BeTeAuN2 PBE relaxed; distance to the lowest polymorph of the same formula = 434.1 meV per atom; crystal system = tetragonal; size of the total moment = 3.2 μB per formula unit; space group = P4/mmm (123); total DFT energy (no corrections) = -18.0 eV/cell
1.0
3.883 0.000 0.000
0.000 3.883 0.000
0.000 0.000 8.497
Be Te Au N
1 1 1 2
direct
0.000 0.000 0.000 Be
0.500 0.500 0.000 Te
0.500 0.500 0.500 Au
0.000 0.500 0.500 N
0.500 0.000 0.500 N


Record 10
CaLa3Tc PBE relaxed; distance to the lowest polymorph of the same formula = 136.1 meV per atom; crystal system = trigonal; E_form = 120 meV per atom; size of the total moment = 0.0 μB per formula unit; space group = R-3 (148); total DFT energy (no corrections) = -53.1 eV/cell
1.0
3.551 2.050 8.618
-3.551 2.050 8.618
0.000 -4.100 8.618
Ca La Tc
2 6 2
direct
0.180 0.180 0.180 Ca
0.820 0.820 0.820 Ca
0.101 0.703 0.364 La
0.297 0.636 0.899 La
0.364 0.101 0.703 La
0.636 0.899 0.297 La
0.703 0.364 0.101 La
0.899 0.297 0.636 La
0.308 0.308 0.308 Tc
0.692 0.692 0.692 Tc


Record 11
NaDyMg2Pb2 PBE relaxed; crystal system = trigonal; E_form = -79 meV per atom; size of the total moment = 0.0 μB per formula unit; space group = R-3m (166); total DFT energy (no corrections) = -17.0 eV/cell
1.0
2.490 1.438 8.760
-2.490 1.438 8.760
0.000 -2.875 8.760
Na Dy Mg Pb
1 1 2 2
direct
0.000 0.000 0.000 Na
0.500 0.500 0.500 Dy
0.120 0.120 0.120 Mg
0.880 0.880 0.880 Mg
0.244 0.244 0.244 Pb
0.756 0.756 0.756 Pb


Record 12
Ba8Na2Ni PBE relaxed; crystal system = monoclinic; E_form = 19 meV per atom; size of the total moment = 0.0 μB per formula unit; space group = C2/m (12); total DFT energy (no corrections) = -23.6 eV/cell
1.0
14.472 -2.277 0.000
14.472 2.277 0.000
-1.482 0.000 9.094
Ba Na Ni
8 2 1
direct
0.001 0.001 0.235 Ba
0.214 0.214 0.327 Ba
0.383 0.383 0.432 Ba
0.394 0.394 0.950 Ba
0.606 0.606 0.050 Ba
0.617 0.617 0.568 Ba
0.786 0.786 0.673 Ba
0.999 0.999 0.765 Ba
0.204 0.204 0.877 Na
0.796 0.796 0.123 Na
0.500 0.500 0.000 Ni


Record 13
PmSi3Ru PBE relaxed; distance to the lowest polymorph of the same formula = 167.7 meV per atom; crystal system = orthorhombic; size of the total moment = 0.0 μB per formula unit; space group = Pmn2_1 (31); total DFT energy (no corrections) = -65.9 eV/cell
1.0
5.925 0.000 0.000
0.000 5.625 0.000
0.000 0.000 5.744
Pm Si Ru
2 6 2
direct
0.000 0.153 0.000 Pm
0.500 0.847 0.500 Pm
0.000 0.972 0.503 Si
0.214 0.342 0.508 Si
0.286 0.658 0.008 Si
0.500 0.028 0.003 Si
0.714 0.658 0.008 Si
0.786 0.342 0.508 Si
0.000 0.628 0.289 Ru
0.500 0.372 0.789 Ru


Record 14
K6Rb2AuF PBE relaxed; crystal system = monoclinic; size of the total moment = 0.0 μB per formula unit; space group = Cm (8); total DFT energy (no corrections) = -19.1 eV/cell
1.0
6.056 -6.022 0.000
6.056 6.022 0.000
-5.062 0.000 7.527
K Rb Au F
6 2 1 1
direct
0.000 0.000 0.000 K
0.077 0.532 0.654 K
0.088 0.088 0.627 K
0.463 0.463 0.080 K
0.528 0.528 0.629 K
0.532 0.077 0.654 K
0.587 0.993 0.192 Rb
0.993 0.587 0.192 Rb
0.765 0.765 0.496 Au
0.342 0.342 0.731 F


Record 15
LiP2 PBE relaxed; distance to the lowest polymorph of the same formula = 477.0 meV per atom; crystal system = cubic; E_form = 139 meV per atom; size of the total moment = 0.0 μB per formula unit; space group = Fm-3m (225); total DFT energy (no corrections) = -49.3 eV/cell
1.0
5.598 0.000 0.000
0.000 5.598 0.000
0.000 0.000 5.598
Li P
4 8
direct
0.000 0.000 0.000 Li
0.000 0.500 0.500 Li
0.500 0.000 0.500 Li
0.500 0.500 0.000 Li
0.250 0.250 0.250 P
0.250 0.250 0.750 P
0.250 0.750 0.250 P
0.250 0.750 0.750 P
0.750 0.250 0.250 P
0.750 0.250 0.750 P
0.750 0.750 0.250 P
0.750 0.750 0.750 P


Record 16
SrTa2Pb PBE relaxed; crystal system = tetragonal; E_form = 853 meV per atom; size of the total moment = 0.0 μB per formula unit; space group = P4/mmm (123); total DFT energy (no corrections) = -25.7 eV/cell
1.0
4.344 0.000 0.000
0.000 4.344 0.000
0.000 0.000 5.058
Sr Ta Pb
1 2 1
direct
0.000 0.000 0.000 Sr
0.000 0.500 0.500 Ta
0.500 0.000 0.500 Ta
0.500 0.500 0.000 Pb


Record 17
TbHoTm3Sc PBE relaxed; crystal system = orthorhombic; E_form = 38 meV per atom; size of the total moment = 0.0 μB per formula unit; space group = Cmcm (63); total DFT energy (no corrections) = -57.5 eV/cell
1.0
2.452 -7.364 0.000
2.452 7.364 0.000
0.000 0.000 9.803
Tb Ho Tm Sc
2 2 6 2
direct
0.002 0.998 0.750 Tb
0.998 0.002 0.250 Tb
0.500 0.500 0.000 Ho
0.500 0.500 0.500 Ho
0.168 0.832 0.000 Tm
0.168 0.832 0.500 Tm
0.331 0.669 0.750 Tm
0.669 0.331 0.250 Tm
0.832 0.168 0.000 Tm
0.832 0.168 0.500 Tm
0.332 0.668 0.250 Sc
0.668 0.332 0.750 Sc


Record 18
SmTe3PbAu PBE relaxed; crystal system = monoclinic; size of the total moment = 0.0 μB per formula unit; space group = P2_1/m (11); total DFT energy (no corrections) = -50.8 eV/cell
1.0
8.775 0.000 0.000
0.000 4.361 0.000
-2.556 0.000 10.023
Sm Te Pb Au
2 6 2 2
direct
0.186 0.250 0.177 Sm
0.814 0.750 0.823 Sm
0.081 0.250 0.856 Te
0.234 0.250 0.484 Te
0.428 0.750 0.140 Te
0.572 0.250 0.860 Te
0.766 0.750 0.516 Te
0.919 0.750 0.144 Te
0.289 0.750 0.730 Pb
0.711 0.250 0.270 Pb
0.413 0.750 0.405 Au
0.587 0.250 0.595 Au


Record 19
CePrCl4 PBE relaxed; crystal system = tetragonal; size of the total moment = 1.5 μB per formula unit; space group = I-4m2 (119); total DFT energy (no corrections) = -59.3 eV/cell
1.0
5.638 0.000 0.000
0.000 5.638 0.000
0.000 0.000 11.259
Ce Pr Cl
2 2 8
direct
0.000 0.000 0.000 Ce
0.500 0.500 0.500 Ce
0.000 0.500 0.250 Pr
0.500 0.000 0.750 Pr
0.000 0.000 0.257 Cl
0.000 0.000 0.743 Cl
0.000 0.500 0.506 Cl
0.000 0.500 0.994 Cl
0.500 0.000 0.006 Cl
0.500 0.000 0.494 Cl
0.500 0.500 0.243 Cl
0.500 0.500 0.757 Cl


Record 20
Y2Er2Sc PBE relaxed; distance to the lowest polymorph of the same formula = 140.1 meV per atom; crystal system = tetragonal; E_form = 186 meV per atom; size of the total moment = 0.0 μB per formula unit; space group = P4/mbm (127); total DFT energy (no corrections) = -54.9 eV/cell
1.0
9.054 0.000 0.000
0.000 9.054 0.000
0.000 0.000 3.703
Y Er Sc
4 4 2
direct
0.132 0.368 0.000 Y
0.368 0.868 0.000 Y
0.632 0.132 0.000 Y
0.868 0.632 0.000 Y
0.169 0.669 0.500 Er
0.331 0.169 0.500 Er
0.669 0.831 0.500 Er
0.831 0.331 0.500 Er
0.000 0.000 0.000 Sc
0.500 0.500 0.000 Sc


Record 21
LaSc3Al8 PBE relaxed; distance to the lowest polymorph of the same formula = 5.7 meV per atom; crystal system = trigonal; E_form = -452 meV per atom; size of the total moment = 0.0 μB per formula unit; space group = P3m1 (156); total DFT energy (no corrections) = -59.3 eV/cell
1.0
5.453 0.000 0.000
-2.727 4.723 0.000
0.000 0.000 9.004
La Sc Al
1 3 8
direct
0.000 0.000 0.000 La
0.000 0.000 0.367 Sc
0.667 0.333 0.499 Sc
0.667 0.333 0.856 Sc
0.162 0.324 0.676 Al
0.162 0.838 0.676 Al
0.333 0.667 0.437 Al
0.333 0.667 0.930 Al
0.504 0.009 0.195 Al
0.504 0.496 0.195 Al
0.676 0.838 0.676 Al
0.991 0.496 0.195 Al


Record 22
Pm2BeGePd6 PBE relaxed; crystal system = triclinic; E_form = -660 meV per atom; size of the total moment = 0.0 μB per formula unit; space group = P-1 (2); total DFT energy (no corrections) = -55.6 eV/cell
1.0
5.792 0.000 0.000
2.879 5.174 0.000
2.853 1.434 6.214
Pm Be Ge Pd
2 1 1 6
direct
0.227 0.246 0.315 Pm
0.773 0.754 0.685 Pm
0.000 0.000 0.000 Be
0.500 0.500 0.500 Ge
0.234 0.677 0.836 Pd
0.246 0.222 0.779 Pd
0.274 0.782 0.203 Pd
0.726 0.218 0.797 Pd
0.754 0.778 0.221 Pd
0.766 0.323 0.164 Pd


Record 23
CsRb3H4 PBE relaxed; distance to the lowest polymorph of the same formula = 0.0 meV per atom; crystal system = orthorhombic; size of the total moment = 0.0 μB per formula unit; space group = Fmmm (69); total DFT energy (no corrections) = -18.5 eV/cell
1.0
0.000 4.320 6.087
4.316 0.000 6.087
4.316 4.320 0.000
Cs Rb H
1 3 4
direct
0.000 0.000 0.000 Cs
0.250 0.250 0.250 Rb
0.500 0.500 0.500 Rb
0.750 0.750 0.750 Rb
0.000 0.000 0.500 H
0.259 0.259 0.741 H
0.500 0.500 0.000 H
0.741 0.741 0.259 H


Record 24
Co2PbI PBE relaxed; distance to the lowest polymorph of the same formula = 0.0 meV per atom; crystal system = tetragonal; size of the total moment = 2.8 μB per formula unit; space group = I-42d (122); total DFT energy (no corrections) = -66.0 eV/cell
1.0
6.219 0.000 0.000
0.000 6.219 0.000
0.000 0.000 10.302
Co Pb I
8 4 4
direct
0.233 0.250 0.125 Co
0.250 0.733 0.375 Co
0.250 0.767 0.875 Co
0.267 0.250 0.625 Co
0.733 0.750 0.625 Co
0.750 0.233 0.875 Co
0.750 0.267 0.375 Co
0.767 0.750 0.125 Co
0.000 0.000 0.500 Pb
0.000 0.500 0.750 Pb
0.500 0.000 0.250 Pb
0.500 0.500 0.000 Pb
0.000 0.000 0.000 I
0.000 0.500 0.250 I
0.500 0.000 0.750 I
0.500 0.500 0.500 I